one) 5
Lattice="-5.952 -1.142 3.019 3.136 -3.544 4.842 0.764 5.655 3.645" Properties=species:S:1:pos:R:3 comment="PBE-GGA BaTe3S, relaxed" rho_g_cm3=2.954 pbc="T T T"
S -1.026 0.484 5.753
Te 1.568 -1.772 2.421
Te 0.382 2.827 1.822
Te -2.976 -0.571 1.510
Ba 0.000 0.000 0.000

two) 5
Lattice="-3.833 3.234 2.122 -2.806 -4.381 1.609 2.663 0.039 4.750" Properties=species:S:1:pos:R:3 comment="PBE-GGA BaTe3S, relaxed" rho_g_cm3=5.677 pbc="T T T"
S 0.000 0.000 0.000
Te -1.403 -2.191 0.804
Te 1.331 0.019 2.375
Te -1.916 1.617 1.061
Ba -1.988 -0.554 4.241

Quick look at relative energies in eV/atom: one) 1.201; two) 0.000.

one) 4
Lattice="4.186 0.000 0.000 2.093 3.625 0.000 2.093 1.208 7.206" Properties=species:S:1:pos:R:3 comment="PBE-GGA BaThS2, relaxed" rho_g_cm3=6.583 pbc="T T T"
S 6.279 3.625 5.634
S 2.093 1.208 1.573
Ba 4.186 2.417 3.603
Th 0.000 0.000 0.000

two) 4
Lattice="-3.497 1.914 1.011 -3.620 -1.624 -1.082 -2.593 -3.743 6.481" Properties=species:S:1:pos:R:3 comment="PBE-GGA BaThS2, relaxed" rho_g_cm3=6.504 pbc="T T T"
Ba -4.859 -1.798 3.325
Th -7.335 -3.502 6.351
S -2.544 -2.897 5.047
S -2.420 -0.728 1.373

Quick look at relative energies in eV/atom: one) 0.000; two) 0.065.

one) 4
Lattice="2.152 0.000 8.751 -1.076 1.863 8.751 -1.076 -1.863 8.751" Properties=species:S:1:pos:R:3 comment="PBE-GGA BaTiS2, relaxed" rho_g_cm3=3.933 pbc="T T T"
S 0.000 0.000 23.203
S 0.000 0.000 3.049
Ba 0.000 0.000 0.000
Ti 0.000 0.000 13.126

two) 8
Lattice="-3.287 0.673 -5.317 3.228 -4.731 -2.594 -4.179 -5.992 -1.892" Properties=species:S:1:pos:R:3 comment="PBE-GGA BaTiS2, relaxed" rho_g_cm3=3.435 pbc="T T T"
S -2.386 -1.732 -3.620
S 0.252 -4.307 -3.260
S -2.852 -6.462 -4.631
S -3.490 -7.599 -8.098
Ba 0.000 0.000 0.000
Ba -3.748 -3.674 -5.583
Ti -0.029 -2.029 -3.956
Ti -0.490 -6.376 -4.221

Quick look at relative energies in eV/atom: one) 0.261; two) 0.000.

one) 13
Lattice="7.548 0.000 0.000 3.774 6.537 0.000 3.774 2.179 6.163" Properties=species:S:1:pos:R:3 comment="PBE-GGA BaTi4S8, relaxed" rho_g_cm3=3.196 pbc="T T T"
Ba 11.323 6.537 4.622
Ti 9.570 3.191 2.256
Ti 7.548 6.693 2.256
Ti 7.548 4.358 5.558
Ti 5.526 3.191 2.256
S 5.496 1.185 0.838
S 3.774 4.167 0.838
S 3.774 2.179 3.649
S 2.053 1.185 0.838
S 6.050 5.223 3.693
S 7.548 2.628 3.693
S 7.548 4.358 1.247
S 9.046 5.223 3.693

two) 13
Lattice="6.253 0.000 2.852 2.476 5.742 2.852 -0.165 -0.109 8.644" Properties=species:S:1:pos:R:3 comment="PBE-GGA BaTi4S8, relaxed" rho_g_cm3=3.093 pbc="T T T"
Ba 4.282 2.816 7.174
Ti 1.238 2.871 1.426
Ti 4.365 2.871 2.852
Ti 3.126 0.000 1.426
Ti 0.000 0.000 0.000
S 5.012 1.217 9.759
S 5.461 1.512 4.588
S 3.551 4.416 4.588
S 6.713 4.416 6.030
S 6.224 4.094 11.196
S 2.340 1.539 3.151
S 1.851 1.217 8.317
S 3.103 4.121 9.759

Quick look at relative energies in eV/atom: one) 0.243; two) 0.000.

one) 5
Lattice="4.445 0.000 0.000 2.223 3.850 0.000 2.223 1.283 9.642" Properties=species:S:1:pos:R:3 comment="PBE-GGA BaTl2S2, relaxed" rho_g_cm3=6.141 pbc="T T T"
Ba 0.000 0.000 0.000
Tl 2.223 1.283 3.453
Tl 6.668 3.850 6.188
S 4.445 2.567 1.862
S 4.445 2.567 7.779

two) 10
Lattice="8.440 0.000 0.000 0.000 8.440 0.000 0.000 0.000 4.457" Properties=species:S:1:pos:R:3 comment="PBE-GGA BaTl2S2, relaxed" rho_g_cm3=6.383 pbc="T T T"
S 2.682 6.902 0.000
S 6.902 5.758 0.000
S 5.758 1.538 0.000
S 1.538 2.682 0.000
Tl 1.108 5.328 2.228
Tl 5.328 7.333 2.228
Tl 7.333 3.112 2.228
Tl 3.112 1.108 2.228
Ba 0.000 0.000 0.000
Ba 4.220 4.220 0.000

Quick look at relative energies in eV/atom: one) 0.000; two) 0.344.

one) 12
Lattice="-4.486 3.509 2.692 -1.876 -7.435 -0.805 5.018 0.669 7.489" Properties=species:S:1:pos:R:3 comment="PBE-GGA Ba2TlS3, relaxed" rho_g_cm3=5.033 pbc="T T T"
Ba -0.660 -3.506 3.484
Ba 1.857 -3.178 7.223
Ba -3.202 -0.080 2.153
Ba -0.685 0.248 5.893
Tl 1.167 0.235 1.924
Tl -0.636 3.942 8.257
S 1.400 2.350 7.035
S -0.869 1.828 3.146
S -0.406 -1.467 8.587
S 1.582 -1.465 4.528
S -2.926 -1.793 4.849
S -0.938 -1.791 0.790

two) 6
Lattice="-1.775 -3.371 1.928 1.189 -2.919 -4.009 7.998 1.204 4.739" Properties=species:S:1:pos:R:3 comment="PBE-GGA Ba2TlS3, relaxed" rho_g_cm3=5.005 pbc="T T T"
Ba 2.099 -3.748 0.108
Ba 5.313 -1.339 2.550
Tl 0.000 0.000 0.000
S 0.594 -1.460 -2.005
S 4.827 -4.435 1.417
S 2.585 -0.651 1.241

Quick look at relative energies in eV/atom: one) 0.000; two) 0.018.

one) 4
Lattice="-3.078 2.391 0.919 -3.465 -1.582 1.238 0.177 0.605 7.746" Properties=species:S:1:pos:R:3 comment="PBE-GGA BaTmS2, relaxed" rho_g_cm3=5.968 pbc="T T T"
Ba -3.157 0.711 5.030
Tm -4.203 1.142 9.130
S -0.303 0.537 6.315
S -1.709 0.337 2.125

two) 4
Lattice="-2.252 -3.104 -1.328 0.114 -1.062 -3.915 4.682 -5.881 -0.359" Properties=species:S:1:pos:R:3 comment="PBE-GGA BaTmS2, relaxed" rho_g_cm3=6.027 pbc="T T T"
Ba 1.272 -5.023 -2.801
Tm 0.000 0.000 0.000
S 2.157 -7.742 -4.138
S 0.387 -2.305 -1.465

Quick look at relative energies in eV/atom: one) 0.061; two) 0.000.

one) 12
Lattice="-5.522 -2.166 -2.919 2.959 -0.587 -5.163 1.886 -7.398 1.922" Properties=species:S:1:pos:R:3 comment="PBE-GGA BaUS4, relaxed" rho_g_cm3=5.374 pbc="T T T"
Ba 0.943 -3.699 0.961
Ba -0.339 -5.075 -3.080
U -1.282 -1.376 -4.041
U 0.000 0.000 0.000
S 2.338 -6.859 -3.068
S -0.417 -7.943 -4.537
S -1.903 -7.652 -1.959
S -1.529 -3.583 -5.670
S 0.852 -6.568 -0.490
S 1.226 -2.499 -4.201
S -0.260 -2.208 -1.623
S -3.015 -3.292 -3.092

two) 12
Lattice="6.575 0.000 0.384 0.000 7.038 0.000 -1.361 -3.519 7.283" Properties=species:S:1:pos:R:3 comment="PBE-GGA BaUS4, relaxed" rho_g_cm3=4.909 pbc="T T T"
Ba 4.088 3.519 4.481
Ba 1.126 0.000 3.186
U 1.756 3.519 0.874
U 3.458 0.000 6.793
S 0.554 3.519 3.051
S 1.815 -1.642 5.872
S 0.000 1.825 0.000
S 3.400 1.877 1.795
S 4.661 0.000 4.616
S 3.400 5.161 1.795
S 0.000 5.213 0.000
S 1.815 1.642 5.872

Quick look at relative energies in eV/atom: one) 0.129; two) 0.000.

one) 20
Lattice="8.770 -0.026 -0.027 -0.217 8.767 -0.027 -0.217 -0.221 8.764" Properties=species:S:1:pos:R:3 comment="PBE-GGA Ba3US6, relaxed" rho_g_cm3=4.153 pbc="T T T"
Ba 3.406 7.944 6.521
Ba 7.868 6.440 3.721
Ba 2.068 4.977 0.624
Ba 6.268 3.542 8.086
Ba 0.469 2.079 4.989
Ba 4.931 0.576 2.189
U 0.000 0.000 0.000
U 4.168 4.260 4.355
S 2.221 8.187 0.595
S 0.200 7.978 6.300
S 4.737 6.725 3.922
S 7.972 6.290 0.512
S 3.668 4.817 6.810
S 1.716 4.707 3.743
S 6.621 3.813 4.967
S 4.668 3.702 1.900
S 0.365 2.229 8.198
S 3.600 1.794 4.789
S 8.137 0.542 2.410
S 6.116 0.332 8.116

two) 20
Lattice="8.584 0.277 -0.201 -0.212 8.585 -0.201 0.262 0.277 8.582" Properties=species:S:1:pos:R:3 comment="PBE-GGA Ba3US6, relaxed" rho_g_cm3=4.414 pbc="T T T"
Ba 3.507 1.274 6.336
Ba 0.901 6.578 3.160
Ba 6.385 3.574 0.729
Ba 7.733 2.563 5.020
Ba 2.249 5.567 7.451
Ba 5.127 7.866 1.844
U 4.317 4.570 4.090
U 0.000 0.000 0.000
S 7.816 6.437 0.220
S 6.390 1.007 7.793
S 0.542 8.170 5.961
S 3.597 5.022 1.670
S 4.908 2.144 3.502
S 1.927 3.877 4.712
S 0.818 2.703 7.960
S 2.243 8.134 0.387
S 8.091 0.970 2.219
S 5.037 4.118 6.510
S 3.726 6.996 4.678
S 6.707 5.263 3.468

Quick look at relative energies in eV/atom: one) 0.027; two) 0.000.

one) 32
Lattice="-4.490 6.373 -0.954 -6.136 -3.584 4.933 5.140 5.136 10.124" Properties=species:S:1:pos:R:3 comment="PBE-GGA Ba2US5, relaxed" rho_g_cm3=5.280 pbc="T T T"
Ba -0.738 5.155 10.521
Ba -4.748 2.770 3.583
Ba -3.737 7.551 8.314
Ba -1.768 4.511 1.187
Ba -1.749 0.374 5.790
Ba -3.718 3.414 12.917
Ba -4.728 -1.367 8.186
Ba -0.757 9.292 5.918
U -0.943 4.534 5.914
U -4.543 3.390 8.190
U -3.730 8.453 12.879
U -1.756 -0.528 1.225
S 0.646 2.393 6.335
S -6.132 5.531 7.769
S -2.236 6.217 13.113
S -3.250 1.708 0.991
S -4.477 1.563 10.115
S -1.008 6.362 3.989
S 0.835 9.962 8.897
S -3.574 4.863 6.052
S -6.320 -2.037 5.207
S -1.912 3.061 8.052
S -3.755 -0.538 3.144
S -1.731 8.463 10.960
S 2.005 4.104 9.268
S -7.491 3.821 4.836
S -3.887 4.920 10.118
S -1.599 3.004 3.986
S -0.723 6.486 7.606
S -4.763 1.438 6.498
S -0.893 2.160 11.836
S -4.593 5.764 2.268

two) 16
Lattice="-2.711 -4.675 -0.641 2.774 0.508 7.661 -11.656 6.238 3.807" Properties=species:S:1:pos:R:3 comment="PBE-GGA Ba2US5, relaxed" rho_g_cm3=3.878 pbc="T T T"
Ba -5.339 -0.961 6.490
Ba -1.198 -3.178 5.138
Ba -6.255 3.033 4.337
Ba -10.396 5.249 5.689
U -9.154 1.124 7.419
U -2.439 0.947 3.408
S -10.266 1.469 9.605
S -7.380 -0.076 8.662
S -3.757 1.417 5.556
S -0.497 -0.328 4.491
S -3.727 -1.477 3.437
S -7.866 3.548 7.390
S -7.836 0.654 5.271
S -11.096 2.399 6.336
S -1.328 0.602 1.222
S -4.214 2.147 2.165

Quick look at relative energies in eV/atom: one) 0.000; two) 0.074.

one) 13
Lattice="4.722 0.000 0.000 0.000 8.432 -4.844 0.000 -0.481 8.922" Properties=species:S:1:pos:R:3 comment="PBE-GGA Ba2U3S8, relaxed" rho_g_cm3=6.007 pbc="T T T"
Ba 2.361 1.979 3.443
Ba 2.361 5.972 0.634
U 2.361 0.000 0.000
U 0.000 1.873 7.569
U 0.000 6.079 -3.491
S 0.000 5.021 -1.021
S 4.722 2.931 5.099
S 0.000 0.747 1.299
S 0.000 7.205 2.778
S 2.361 5.194 3.854
S 2.361 0.713 6.426
S 2.361 7.238 -2.348
S 2.361 2.758 0.224

two) 13
Lattice="-6.919 -0.598 -0.404 0.508 -0.337 -8.206 2.804 -6.632 4.572" Properties=species:S:1:pos:R:3 comment="PBE-GGA Ba2U3S8, relaxed" rho_g_cm3=5.127 pbc="T T T"
Ba -0.655 -3.925 0.121
Ba -2.952 -3.642 -4.159
U -3.460 -0.299 -0.202
U 0.130 -0.086 -2.101
U 0.378 -0.251 -6.105
S -5.750 -2.242 -4.389
S 2.143 -5.325 0.351
S -5.662 -1.892 -0.273
S 2.054 -5.675 -3.765
S -1.637 -5.803 -2.162
S -1.920 -5.615 2.411
S -1.687 -1.952 -6.449
S -1.970 -1.764 -1.876

Quick look at relative energies in eV/atom: one) 0.073; two) 0.000.